A relaxed structure of BaNi2Mo. Source: the Alexandria database, functional PBE.

Properties
Its density of states at the Fermi level is 5.95 states/eV/cell. The value obtained for the formation energy is 298 meV per atom. As for the raw total energy: -5.7816 eV per atom.

```
BaNi2Mo
1.0
3.638 -2.101 0.000
3.638 2.101 0.000
-2.435 0.000 5.895
Ba Ni Mo
1 2 1
direct
0.000 0.000 0.000
0.512 0.512 0.536
0.812 0.812 0.438
0.184 0.184 0.554
```

---

A relaxed structure of Sc2TaBr. Source: the Alexandria database, functional PBE.

Properties
Its density of states at the Fermi level is 4.68 states/eV/cell. The formation energy from raw total energies is 0.04 eV/atom. As for the raw total energy: -6.5043 eV per atom.

```
Sc2TaBr
1.0
3.129 0.000 0.000
0.000 3.129 0.000
0.000 0.000 10.131
Sc Ta Br
2 1 1
direct
0.000 0.000 0.000
0.500 0.500 0.262
0.000 0.000 0.457
0.500 0.500 0.832
```

---

Computed values of volume (unit: Å³ per atom) for the preceding records, in sequence: 22.53; 24.80.